Below is Nd2Ga3FeIr4 after structural relaxation, with properties calculated at the PBE level.

Output
crystal system = tetragonal
energy of formation = -5.9 eV per formula unit
theoretical density = 11.79 g cm⁻³
total energy = -0.5026 Ry per atom

Cell: 4.2370 4.2370 10.3788 Å, 90.00 90.00 90.00°
Last column: nearest neighbours and their distance in Å.
Space group P-4m2 (No. 115)
Symmetry-distinct sites (fractional):
Nd: 0.0000 0.5000 0.2449 (multiplicity 2)  6 Ga 3.23-3.39, 8 Ir 3.26-3.31, 2 Fe 3.39
Ga: 0.0000 0.5000 0.8716 (multiplicity 2)  5 Ir 2.49-2.50
Ga: 0.5000 0.5000 0.5000 (multiplicity 1)  4 Ir 2.52
Fe: 0.0000 0.0000 0.5000 (multiplicity 1)  4 Ir 2.52
Ir: 0.0000 0.0000 0.0000 (multiplicity 1)  4 Ga 2.50
Ir: 0.0000 0.5000 0.6314 (multiplicity 2)  3 Ga 2.49-2.52, 2 Fe 2.52
Ir: 0.5000 0.5000 0.0000 (multiplicity 1)  4 Ga 2.50